(1)
VASP calculation (PBE-GGA) on crystalline TlB2Mo at its relaxed geometry.

Values from the calculation:
Its formation energy is 1.545 eV/atom. Its electronic total energy is -5.0927 eV per atom. Its space group is Fm-3m (225).

Lattice parameters (Å, degrees): 4.1892 4.1892 4.1892 60.00 60.00 60.00
Closest atoms and distances in Å follow each position.
Positions (direct):
Mo 0.0000 0.0000 0.0000  8 B 2.57
B 0.7500 0.7500 0.7500  4 Tl 2.57, 4 Mo 2.57
B 0.2500 0.2500 0.2500  4 Tl 2.57, 4 Mo 2.57
Tl 0.5000 0.5000 0.5000  8 B 2.57

***

(2)
VASP calculation (PBE-GGA) on crystalline TlB2Mo at its relaxed geometry.

Values from the calculation:
Its formation energy is 1.072 eV/atom. Its electronic total energy is -5.5657 eV per atom. Its space group is I-42d (122).

Lattice parameters (Å, degrees): 5.4951 5.4951 6.0016 62.75 62.75 90.00
Closest atoms and distances in Å follow each position.
Positions (direct):
B 0.8750 0.8210 0.7500  2 Mo 2.09
B 0.3750 0.4290 0.7500  2 Mo 2.09
Tl 0.0000 0.0000 0.0000  4 B 2.45
Mo 0.2500 0.7500 0.5000  4 B 2.09
Mo 0.5000 0.5000 0.0000  4 B 2.09
B 0.1790 0.6250 0.2500  2 Mo 2.09
B 0.5710 0.1250 0.2500  2 Mo 2.09
Tl 0.7500 0.2500 0.5000  4 B 2.45

***

(3)
VASP calculation (PBE-GGA) on crystalline Tl3BMo at its relaxed geometry.

Values from the calculation:
Its formation energy is 1.360 eV/atom. Its electronic total energy is -3.5618 eV per atom. Its space group is Pm-3m (221).

Lattice parameters (Å, degrees): 4.9477 4.9477 4.9477 90.00 90.00 90.00
Closest atoms and distances in Å follow each position.
Positions (direct):
Tl 0.5000 0.0000 0.0000  2 B 2.47
B 0.0000 0.0000 0.0000  6 Tl 2.47
Tl 0.0000 0.5000 0.0000  2 B 2.47
Tl 0.0000 0.0000 0.5000  2 B 2.47
Mo 0.5000 0.5000 0.5000  12 Tl 3.50